Here is Cu2Se3O6 after structural relaxation from the Alexandria database. Energies are from PBE.

Cell and atoms, written as POSCAR:
```
Cu2Se3O6
1.0
5.9099 0.0000 0.0000
-1.8656 6.4417 0.0000
-0.0169 -0.0216 9.8268
Cu Se O
4 6 12
Direct
0.0654 0.3313 0.4092
0.2954 0.6065 0.0325
0.7046 0.3935 0.9675
0.9346 0.6687 0.5908
0.0595 0.9151 0.8591
0.3752 0.8145 0.3427
0.3955 0.4894 0.6999
0.6045 0.5106 0.3001
0.6248 0.1855 0.6573
0.9405 0.0849 0.1409
0.0462 0.6738 0.9243
0.1275 0.9088 0.6897
0.1452 0.6419 0.4301
0.2730 0.8068 0.1786
0.3811 0.3127 0.3656
0.4504 0.4913 0.8760
0.5496 0.5087 0.1240
0.6189 0.6873 0.6344
0.7270 0.1932 0.8214
0.8548 0.3581 0.5699
0.8725 0.0912 0.3103
0.9538 0.3262 0.0757
```

Space-group type = P-1
ΔE_f (raw) = -6.08 eV/f.u.
Crystal system = triclinic
DOS(E_F) = 0.247 states/eV/atom